The following is a PBE+U calculation of MnNiNO2 after structural relaxation, from the Alexandria database.

Values from the calculation:
calculated density = 5.13 g/cm³
DFT total energy = -24.47 eV per cell
V = 51.7 Å³ per cell

abc: 3.762 3.762 3.651
angles: 90.00 90.00 90.00
Each line ends with the local moment (μB).
Atoms (fractional coordinates):
O: 0.500 0.000 0.000  0.17
O: 0.000 0.500 0.000  0.17
Mn: 0.500 0.500 0.500  1.07
Ni: 0.000 0.000 0.000  1.10
N: 0.000 0.000 0.500  0.68